1.
The following is a GGA-PBE calculation of a relaxed structure of TaSiPb2, from the Alexandria database.

```
data_TaSiPb2
_cell_length_a 3.487
_cell_length_b 3.667
_cell_length_c 15.653
_cell_angle_alpha 90.00
_cell_angle_beta 90.00
_cell_angle_gamma 90.00
_space_group_name_H-M_alt 'I m m m'
_space_group_IT_number 71
_space_group_name_Hall '-I 2 2'
loop_
_atom_site_label
_atom_site_fract_x
_atom_site_fract_y
_atom_site_fract_z
Ta1 0.000 0.000 0.000
Si1 0.000 0.000 0.500
Pb1 0.000 0.500 0.331
```

---

2.
The following is a GGA-PBE calculation of a relaxed structure of TaSiPb2, from the Alexandria database.

```
data_TaSiPb2
_cell_length_a 3.940
_cell_length_b 5.104
_cell_length_c 9.037
_cell_angle_alpha 90.00
_cell_angle_beta 90.00
_cell_angle_gamma 90.00
_space_group_name_H-M_alt 'C m m m'
_space_group_IT_number 65
_space_group_name_Hall '-C 2 2'
loop_
_atom_site_label
_atom_site_fract_x
_atom_site_fract_y
_atom_site_fract_z
Ta1 0.000 0.000 0.000
Si1 0.000 0.000 0.500
Pb1 0.000 0.500 0.248
```

---

3.
The following is a GGA-PBE calculation of a relaxed structure of Ta2SiPb, from the Alexandria database.

```
data_Ta2SiPb
_cell_length_a 10.209
_cell_length_b 3.092
_cell_length_c 4.932
_cell_angle_alpha 90.00
_cell_angle_beta 106.02
_cell_angle_gamma 90.00
_space_group_name_H-M_alt 'C 1 m 1'
_space_group_IT_number 8
loop_
_space_group_symop_operation_xyz
'x,y,z'
'x,-y,z'
'x+1/2,y+1/2,z'
'x+1/2,-y+1/2,z'
loop_
_atom_site_label
_atom_site_fract_x
_atom_site_fract_y
_atom_site_fract_z
Ta1 0.000 0.000 0.000
Ta2 0.235 0.000 0.647
Si1 0.224 0.500 0.124
Pb1 0.480 0.000 0.482
```

---

4.
The following is a GGA-PBE calculation of a relaxed structure of TaSi2Pb, from the Alexandria database.

```
data_TaSi2Pb
_cell_length_a 6.761
_cell_length_b 6.761
_cell_length_c 6.761
_cell_angle_alpha 90.00
_cell_angle_beta 90.00
_cell_angle_gamma 90.00
_space_group_name_H-M_alt 'F -4 3 m'
_space_group_IT_number 216
_space_group_name_Hall 'F -4 2 3'
loop_
_atom_site_label
_atom_site_fract_x
_atom_site_fract_y
_atom_site_fract_z
Ta1 0.000 0.000 0.000
Si1 0.000 0.000 0.500
Si2 0.250 0.250 0.750
Pb1 0.250 0.250 0.250
```

---

5.
The following is a GGA-PBE calculation of a relaxed structure of TaSi2Pb, from the Alexandria database.

```
data_TaSi2Pb
_cell_length_a 3.599
_cell_length_b 4.904
_cell_length_c 8.393
_cell_angle_alpha 90.00
_cell_angle_beta 90.00
_cell_angle_gamma 90.00
_space_group_name_H-M_alt 'I m m m'
_space_group_IT_number 71
_space_group_name_Hall '-I 2 2'
loop_
_atom_site_label
_atom_site_fract_x
_atom_site_fract_y
_atom_site_fract_z
Ta1 0.000 0.000 0.000
Si1 0.000 0.500 0.259
Pb1 0.000 0.000 0.500
```

---

6.
The following is a GGA-PBE calculation of a relaxed structure of Ta2SiPb, from the Alexandria database.

```
data_Ta2SiPb
_cell_length_a 4.054
_cell_length_b 4.054
_cell_length_c 19.902
_cell_angle_alpha 90.00
_cell_angle_beta 90.00
_cell_angle_gamma 90.00
_space_group_name_H-M_alt 'I -4 2 d'
_space_group_IT_number 122
_space_group_name_Hall 'I -4 2bw'
loop_
_atom_site_label
_atom_site_fract_x
_atom_site_fract_y
_atom_site_fract_z
Ta1 0.231 0.250 0.125
Si1 0.000 0.000 0.000
Pb1 0.000 0.000 0.500
```

---

7.
The following is a GGA-PBE calculation of a relaxed structure of Ta2SiPb, from the Alexandria database.

```
data_Ta2SiPb
_cell_length_a 6.064
_cell_length_b 6.953
_cell_length_c 3.524
_cell_angle_alpha 90.00
_cell_angle_beta 90.00
_cell_angle_gamma 90.00
_space_group_name_H-M_alt 'C m m m'
_space_group_IT_number 65
_space_group_name_Hall '-C 2 2'
loop_
_atom_site_label
_atom_site_fract_x
_atom_site_fract_y
_atom_site_fract_z
Ta1 0.250 0.250 0.000
Si1 0.000 0.000 0.500
Pb1 0.000 0.500 0.500
```

---

8.
The following is a GGA-PBE calculation of a relaxed structure of TaSiPb4, from the Alexandria database.

```
data_TaSiPb4
_cell_length_a 8.785
_cell_length_b 8.785
_cell_length_c 8.785
_cell_angle_alpha 90.00
_cell_angle_beta 90.00
_cell_angle_gamma 90.00
_space_group_name_H-M_alt 'F -4 3 m'
_space_group_IT_number 216
_space_group_name_Hall 'F -4 2 3'
loop_
_atom_site_label
_atom_site_fract_x
_atom_site_fract_y
_atom_site_fract_z
Ta1 0.000 0.000 0.000
Si1 0.250 0.250 0.250
Pb1 0.125 0.125 0.625
```

---

9.
The following is a GGA-PBE calculation of a relaxed structure of TaSiPb3, from the Alexandria database.

```
data_TaSiPb3
_cell_length_a 5.290
_cell_length_b 5.290
_cell_length_c 5.290
_cell_angle_alpha 90.00
_cell_angle_beta 90.00
_cell_angle_gamma 90.00
_space_group_name_H-M_alt 'P m -3 m'
_space_group_IT_number 221
_space_group_name_Hall '-P 4 2 3'
loop_
_atom_site_label
_atom_site_fract_x
_atom_site_fract_y
_atom_site_fract_z
Ta1 0.000 0.000 0.000
Si1 0.500 0.500 0.500
Pb1 0.000 0.500 0.500
```

---

10.
The following is a GGA-PBE calculation of a relaxed structure of TaSiPb2, from the Alexandria database.

```
data_TaSiPb2
_cell_length_a 3.1580
_cell_length_b 3.1580
_cell_length_c 32.9400
_cell_angle_alpha 90.00
_cell_angle_beta 90.00
_cell_angle_gamma 120.00
_space_group_name_H-M_alt 'R -3 m'
_space_group_IT_number 166
_space_group_name_Hall '-R 3 2"'
loop_
_atom_site_label
_atom_site_fract_x
_atom_site_fract_y
_atom_site_fract_z
Ta1 0.0000 0.0000 0.0000
Si1 0.0000 0.0000 0.5000
Pb1 0.0000 0.0000 0.2545
```

---

11.
The following is a GGA-PBE calculation of a relaxed structure of Ta2SiPb, from the Alexandria database.

```
data_Ta2SiPb
_cell_length_a 9.271
_cell_length_b 3.385
_cell_length_c 4.984
_cell_angle_alpha 90.00
_cell_angle_beta 96.33
_cell_angle_gamma 90.00
_space_group_name_H-M_alt 'C 1 2/m 1'
_space_group_IT_number 12
loop_
_space_group_symop_operation_xyz
'x,y,z'
'-x,-y,-z'
'-x,y,-z'
'x,-y,z'
'x+1/2,y+1/2,z'
'-x+1/2,-y+1/2,-z'
'-x+1/2,y+1/2,-z'
'x+1/2,-y+1/2,z'
loop_
_atom_site_label
_atom_site_fract_x
_atom_site_fract_y
_atom_site_fract_z
Ta1 0.246 0.000 0.283
Si1 0.000 0.000 0.500
Pb1 0.000 0.500 0.000
```

---

12.
The following is a GGA-PBE calculation of a relaxed structure of TaSiPb2, from the Alexandria database.

```
data_TaSiPb2
_cell_length_a 3.292
_cell_length_b 3.619
_cell_length_c 8.650
_cell_angle_alpha 90.00
_cell_angle_beta 100.75
_cell_angle_gamma 90.00
_space_group_name_H-M_alt 'P 1 m 1'
_space_group_IT_number 6
loop_
_space_group_symop_operation_xyz
'x,y,z'
'x,-y,z'
loop_
_atom_site_label
_atom_site_fract_x
_atom_site_fract_y
_atom_site_fract_z
Ta1 0.000 0.000 0.000
Si1 0.456 0.500 0.910
Pb1 0.345 0.000 0.644
Pb2 0.633 0.500 0.264
```

---

| no. | mass density (Mg/m³) | formation energy without anion corrections (eV/atom) |
| --- | --- | --- |
| 1 | 10.3 | 0.2170 |
| 2 | 11.4 | 0.6908 |
| 3 | 13.3 | 0.3800 |
| 4 | 9.6 | 0.8922 |
| 5 | 10.0 | 0.4972 |
| 6 | 12.1 | 0.6473 |
| 7 | 13.3 | 0.4754 |
| 8 | 10.2 | 1.1028 |
| 9 | 9.3 | 1.3633 |
| 10 | 10.9 | 0.7081 |
| 11 | 12.8 | 0.3622 |
| 12 | 10.2 | 0.1479 |